No. 1
Material: SrCaTa2Bi
Method: DFT, PBE-GGA
State: optimized geometry

a = 5.060 Å, b = 5.060 Å, c = 5.772 Å
α = 90.00°, β = 90.00°, γ = 90.00°
Space group P4/mmm (No. 123)
Unique sites:
Sr1 0.000 0.000 0.000 x1
Ca1 0.500 0.500 0.500 x1
Ta1 0.000 0.500 0.500 x2
Bi1 0.500 0.500 0.000 x1

Computed properties:
Formation energy from the elements in eV per atom: 1.65

No. 2
Material: Sr3CaBi2Te
Method: DFT, PBE-GGA
State: optimized geometry

a = 5.713 Å, b = 5.930 Å, c = 17.725 Å
α = 90.00°, β = 90.00°, γ = 90.00°
Space group Immm (No. 71)
Unique sites:
Sr1 0.000 0.000 0.000 x2
Sr2 0.000 0.500 0.185 x4
Ca1 0.000 0.000 0.500 x2
Bi1 0.000 0.500 0.372 x4
Te1 0.000 0.500 0.000 x2

Computed properties:
Formation energy (no corrections) in meV/atom: -874